Density functional theory data (PBE) for CaBeSi after structural relaxation.

```
CaBeSi
1.0
4.040 0.000 0.000
0.000 4.040 0.000
0.000 0.000 13.764
Ca Be Si
4 4 4
Cartesian
0.000 0.000 0.000 Ca
0.000 2.020 3.441 Ca
2.020 0.000 10.323 Ca
2.020 2.020 6.882 Ca
0.000 0.000 5.719 Be
0.000 2.020 9.160 Be
2.020 0.000 2.278 Be
2.020 2.020 12.601 Be
0.000 0.000 8.040 Si
0.000 2.020 11.481 Si
2.020 0.000 4.599 Si
2.020 2.020 1.158 Si
```

ρ in g/cm3: 2.3
Size of the total moment in μB/f.u.: 0.00
Raw formation energy in eV per atom: -0.2798
DOS at the Fermi energy in states/eV/cell: 6.32
E in eV per formula unit: -12.0

Density functional theory data (PBE) for Ca2SiNi after structural relaxation.

```
Ca2SiNi
1.0
7.807 0.000 0.000
0.000 7.807 0.000
0.000 0.000 5.911
Ca Si Ni
8 4 4
Cartesian
1.692 5.855 0.739 Ca
1.952 1.692 5.172 Ca
1.952 2.211 2.217 Ca
2.211 5.855 3.694 Ca
5.596 1.952 3.694 Ca
5.855 5.596 2.217 Ca
5.855 6.115 5.172 Ca
6.115 1.952 0.739 Ca
0.000 0.000 2.955 Si
0.000 3.903 4.433 Si
3.903 0.000 1.478 Si
3.903 3.903 0.000 Si
0.000 0.000 0.000 Ni
0.000 3.903 1.478 Ni
3.903 0.000 4.433 Ni
3.903 3.903 2.955 Ni
```

ρ in g/cm3: 3.1
Size of the total moment in μB/f.u.: 0.00
Raw formation energy in eV per atom: 0.2084
DOS at the Fermi energy in states/eV/cell: 6.99
E in eV per formula unit: -14.4

Density functional theory data (PBE) for Tb2YMg after structural relaxation.

```
Tb2YMg
1.0
12.918 0.000 0.000
0.000 3.442 0.000
-0.832 0.000 11.130
Tb Y Mg
8 4 4
Cartesian
-0.083 0.000 3.157 Tb
2.897 1.721 2.842 Tb
2.730 0.000 8.288 Tb
5.710 1.721 7.973 Tb
6.376 1.721 3.157 Tb
9.356 0.000 2.842 Tb
9.189 1.721 8.288 Tb
12.169 0.000 7.973 Tb
1.702 0.000 0.027 Y
3.926 1.721 11.103 Y
8.160 1.721 0.027 Y
10.385 0.000 11.103 Y
1.291 1.721 5.713 Mg
4.337 0.000 5.417 Mg
7.749 0.000 5.713 Mg
10.795 1.721 5.417 Mg
```

ρ in g/cm3: 5.8
Size of the total moment in μB/f.u.: 0.00
Distance to the lowest polymorph of the same formula in kJ per mole of atoms: 15.1
DOS at the Fermi energy in states/eV/cell: 25.54
E in eV per formula unit: -16.8

Density functional theory data (PBE) for Rb3Hg8Bi3 after structural relaxation.

```
Rb3Hg8Bi3
1.0
9.566 -2.704 0.000
9.566 2.704 0.000
-5.843 0.000 9.008
Rb Hg Bi
3 8 3
Cartesian
0.000 0.000 0.000 Rb
3.985 0.000 2.636 Rb
9.304 0.000 6.373 Rb
-2.296 0.000 7.770 Hg
0.419 0.000 3.970 Hg
0.860 0.000 8.966 Hg
7.640 0.000 2.911 Hg
5.649 0.000 6.097 Hg
12.429 0.000 0.042 Hg
12.870 0.000 5.038 Hg
15.585 0.000 1.238 Hg
-2.922 0.000 4.504 Bi
2.529 0.000 6.428 Bi
10.760 0.000 2.580 Bi
```

ρ in g/cm3: 8.9
Size of the total moment in μB/f.u.: 0.00
DOS at the Fermi energy in states/eV/cell: 4.91
E in eV per formula unit: -19.6

Density functional theory data (PBE) for BeNiGe after structural relaxation.

```
BeNiGe
1.0
5.383 0.000 0.000
0.000 5.383 0.000
0.000 0.000 5.383
Be Ni Ge
4 4 4
Cartesian
0.000 0.000 0.000 Be
0.000 2.692 2.692 Be
2.692 0.000 2.692 Be
2.692 2.692 0.000 Be
1.346 1.346 4.038 Ni
1.346 4.038 1.346 Ni
4.038 1.346 1.346 Ni
4.038 4.038 4.038 Ni
0.000 0.000 2.692 Ge
0.000 2.692 0.000 Ge
2.692 0.000 0.000 Ge
2.692 2.692 2.692 Ge
```

ρ in g/cm3: 6.0
Size of the total moment in μB/f.u.: 0.00
DOS at the Fermi energy in states/eV/cell: 9.46
E in eV per formula unit: -14.5

Density functional theory data (PBE) for CsSbBr4 after structural relaxation.

```
CsSbBr4
1.0
10.999 0.000 0.000
0.000 8.224 0.000
-3.838 0.000 11.247
Cs Sb Br
4 4 16
Cartesian
2.396 2.042 0.688 Cs
0.477 2.069 6.311 Cs
6.683 6.154 4.936 Cs
4.764 6.181 10.559 Cs
-0.848 6.117 8.902 Sb
1.072 6.218 3.279 Sb
6.089 2.006 7.967 Sb
8.008 2.106 2.344 Sb
-0.429 0.531 2.800 Br
-2.348 3.580 8.423 Br
1.522 5.991 0.687 Br
-0.397 6.345 6.310 Br
0.555 0.085 9.505 Br
2.475 4.027 3.881 Br
1.223 4.537 9.351 Br
3.142 7.798 3.728 Br
4.018 0.425 7.519 Br
5.938 3.687 1.896 Br
4.686 4.197 7.365 Br
6.605 8.139 1.742 Br
7.558 1.879 4.937 Br
5.639 2.233 10.560 Br
9.509 4.643 2.823 Br
7.589 7.692 8.447 Br
```

ρ in g/cm3: 3.7
Size of the total moment in μB/f.u.: 0.00
Distance to the lowest polymorph of the same formula in kJ per mole of atoms: 0.0
Raw formation energy in eV per atom: -1.0382
E in eV per formula unit: -17.9